[1]
Ce2Ga3GeAu4 (PBE, relaxed); N(E_F) = 14.56 states/eV/cell; uncorrected energy = -44.31 eV per cell; calculated formation energy = -563 meV per atom
1.0
4.483 0.000 0.000
0.000 4.483 0.000
0.000 0.000 10.403
Ce Ga Ge Au
2 3 1 4
direct
0.000 0.500 0.250
0.500 0.000 0.750
0.000 0.000 0.000
0.000 0.500 0.630
0.500 0.000 0.370
0.500 0.500 0.000
0.000 0.000 0.500
0.000 0.500 0.870
0.500 0.000 0.130
0.500 0.500 0.500


[2]
Ce2GaGe4Au3 (PBE, relaxed); N(E_F) = 14.15 states/eV/cell; uncorrected energy = -47.81 eV per cell; calculated formation energy = -461 meV per atom
1.0
4.548 0.000 0.000
0.000 4.548 0.000
0.000 0.000 10.220
Ce Ga Ge Au
2 1 4 3
direct
0.000 0.500 0.248
0.500 0.000 0.752
0.000 0.000 0.500
0.000 0.000 0.000
0.000 0.500 0.630
0.500 0.000 0.370
0.500 0.500 0.000
0.000 0.500 0.873
0.500 0.000 0.127
0.500 0.500 0.500


[3]
CeGa2GeAu5 (PBE, relaxed); N(E_F) = 8.70 states/eV/cell; uncorrected energy = -34.88 eV per cell; calculated formation energy = -209 meV per atom
1.0
4.990 0.000 0.000
0.000 4.990 0.000
0.000 0.000 7.541
Ce Ga Ge Au
1 2 1 5
direct
0.000 0.000 0.000
0.500 0.500 0.342
0.500 0.500 0.658
0.000 0.000 0.500
0.000 0.500 0.250
0.000 0.500 0.750
0.500 0.000 0.250
0.500 0.000 0.750
0.500 0.500 0.000


[4]
Ce2Ga3HgAu4 (PBE, relaxed); N(E_F) = 17.28 states/eV/cell; uncorrected energy = -39.35 eV per cell; calculated formation energy = -499 meV per atom
1.0
4.384 0.000 0.000
0.000 4.384 0.000
0.000 0.000 11.287
Ce Ga Hg Au
2 3 1 4
direct
0.000 0.500 0.240
0.500 0.000 0.760
0.000 0.500 0.874
0.500 0.000 0.126
0.500 0.500 0.500
0.000 0.000 0.500
0.000 0.000 0.000
0.000 0.500 0.653
0.500 0.000 0.347
0.500 0.500 0.000


[5]
Ce2Ga4HgAu3 (PBE, relaxed); N(E_F) = 15.73 states/eV/cell; uncorrected energy = -39.34 eV per cell; calculated formation energy = -523 meV per atom
1.0
4.447 0.000 0.000
0.000 4.447 0.000
0.000 0.000 10.725
Ce Ga Hg Au
2 4 1 3
direct
0.000 0.500 0.247
0.500 0.000 0.753
0.000 0.000 0.000
0.000 0.500 0.641
0.500 0.000 0.359
0.500 0.500 0.000
0.000 0.000 0.500
0.000 0.500 0.873
0.500 0.000 0.127
0.500 0.500 0.500


[6]
CeHoGa2Au5 (PBE, relaxed); N(E_F) = 10.91 states/eV/cell; uncorrected energy = -37.13 eV per cell; calculated formation energy = -464 meV per atom
1.0
4.730 0.000 0.000
0.000 4.730 0.000
0.000 0.000 8.530
Ce Ho Ga Au
1 1 2 5
direct
0.000 0.000 0.000
0.000 0.000 0.500
0.500 0.500 0.355
0.500 0.500 0.645
0.000 0.500 0.240
0.000 0.500 0.760
0.500 0.000 0.240
0.500 0.000 0.760
0.500 0.500 0.000


[7]
CeHoGa2Au4 (PBE, relaxed); N(E_F) = 7.54 states/eV/cell; uncorrected energy = -34.64 eV per cell; calculated formation energy = -621 meV per atom
1.0
2.359 1.362 8.660
-2.359 1.362 8.660
0.000 -2.724 8.660
Ce Ho Ga Au
1 1 2 4
direct
0.000 0.000 0.000
0.500 0.500 0.500
0.249 0.249 0.249
0.751 0.751 0.751
0.121 0.121 0.121
0.386 0.386 0.386
0.614 0.614 0.614
0.879 0.879 0.879


[8]
CeIn2GaAu2 (PBE, relaxed); N(E_F) = 11.00 states/eV/cell; uncorrected energy = -21.37 eV per cell; calculated formation energy = -62 meV per atom
1.0
-2.728 2.728 5.593
2.728 -2.728 5.593
2.728 2.728 -5.593
Ce In Ga Au
1 2 1 2
direct
0.000 0.000 0.000
0.250 0.750 0.500
0.750 0.250 0.500
0.500 0.500 0.000
0.278 0.278 0.000
0.722 0.722 0.000


[9]
CeInGa2Au5 (PBE, relaxed); N(E_F) = 10.14 states/eV/cell; uncorrected energy = -33.82 eV per cell; calculated formation energy = -301 meV per atom
1.0
4.981 0.000 0.000
0.000 4.981 0.000
0.000 0.000 7.746
Ce In Ga Au
1 1 2 5
direct
0.000 0.000 0.000
0.000 0.000 0.500
0.500 0.500 0.342
0.500 0.500 0.658
0.000 0.500 0.242
0.000 0.500 0.758
0.500 0.000 0.242
0.500 0.000 0.758
0.500 0.500 0.000


[10]
CeInGa2Au4 (PBE, relaxed); N(E_F) = 6.68 states/eV/cell; uncorrected energy = -31.02 eV per cell; calculated formation energy = -398 meV per atom
1.0
2.247 1.297 9.527
-2.247 1.297 9.527
0.000 -2.594 9.527
Ce In Ga Au
1 1 2 4
direct
0.000 0.000 0.000
0.500 0.500 0.500
0.256 0.256 0.256
0.744 0.744 0.744
0.120 0.120 0.120
0.393 0.393 0.393
0.607 0.607 0.607
0.880 0.880 0.880


[11]
Ce3InGa2Au6 (PBE, relaxed); N(E_F) = 24.57 states/eV/cell; uncorrected energy = -51.06 eV per cell; calculated formation energy = -400 meV per atom
1.0
6.179 0.000 0.000
-3.089 5.351 0.000
0.000 0.000 8.626
Ce In Ga Au
3 1 2 6
direct
0.000 0.000 0.000
0.333 0.667 0.632
0.667 0.333 0.368
0.000 0.000 0.500
0.333 0.667 0.007
0.667 0.333 0.993
0.180 0.361 0.266
0.180 0.820 0.266
0.361 0.180 0.734
0.639 0.820 0.266
0.820 0.180 0.734
0.820 0.639 0.734


[12]
Ce2InGa3Au4 (PBE, relaxed); N(E_F) = 16.41 states/eV/cell; uncorrected energy = -42.37 eV per cell; calculated formation energy = -558 meV per atom
1.0
4.397 0.000 0.000
0.000 4.397 0.000
0.000 0.000 11.170
Ce In Ga Au
2 1 3 4
direct
0.000 0.500 0.237
0.500 0.000 0.763
0.000 0.000 0.500
0.000 0.500 0.872
0.500 0.000 0.128
0.500 0.500 0.500
0.000 0.000 0.000
0.000 0.500 0.648
0.500 0.000 0.352
0.500 0.500 0.000


Q: Which of these has the lowest N(E_F)?
A: CeInGa2Au4


Q: Which value of N(E_F) does entry 4 give?
A: 17.28 states/eV/cell


Q: Which value of calculated formation energy does entry 10 give?
A: -398 meV per atom


Q: Number 7 is which compound?
A: CeHoGa2Au4